No. 1
Computed, not measured: an optimized crystal structure of ReHg2W at the PBE level of DFT.

Values from the calculation:
energy above the most stable polymorph in this dataset	375	meV per atom
E_form	0.876	eV/atom
space-group type	C2/m

Cell lengths 5.1235, 5.1235, 5.0363 Å; angles 99.41, 99.41, 33.18 degrees
Fractional positions:
Re1 0.0000 0.0000 0.0000
Hg1 0.2508 0.2508 0.7507
Hg2 0.7492 0.7492 0.2493
W1 0.5000 0.5000 0.5000

No. 2
Computed, not measured: an optimized crystal structure of Li2Zn5Cu12 at the PBE level of DFT.

Values from the calculation:
E_form	-0.038	eV/atom
space-group type	C2/m

Cell lengths 7.5302, 7.5302, 4.8878 Å; angles 100.02, 100.02, 67.10 degrees
Fractional positions:
Li1 0.2115 0.7885 0.0000
Li2 0.7885 0.2115 0.0000
Zn1 0.0000 0.0000 0.5000
Zn2 0.2210 0.2210 0.4587
Zn3 0.3615 0.3615 0.1164
Zn4 0.6385 0.6385 0.8836
Zn5 0.7790 0.7790 0.5413
Cu1 0.0650 0.5312 0.8009
Cu2 0.1489 0.6480 0.4006
Cu3 0.1591 0.1591 0.9201
Cu4 0.3520 0.8511 0.5994
Cu5 0.4386 0.4386 0.6839
Cu6 0.4688 0.9350 0.1991
Cu7 0.5312 0.0650 0.8009
Cu8 0.5614 0.5614 0.3161
Cu9 0.6480 0.1489 0.4006
Cu10 0.8409 0.8409 0.0799
Cu11 0.8511 0.3520 0.5994
Cu12 0.9350 0.4688 0.1991

No. 3
Computed, not measured: an optimized crystal structure of CeHoCu2Si2 at the PBE level of DFT.

Values from the calculation:
space-group type	P-3m1
formation energy without anion corrections	-0.62	eV per atom

Cell lengths 4.1473, 4.1473, 7.6828 Å; angles 90.00, 90.00, 120.00 degrees
Fractional positions:
Ce1 0.0000 0.0000 0.0000
Ho1 0.0000 0.0000 0.5000
Cu1 0.3333 0.6667 0.2604
Cu2 0.6667 0.3333 0.7396
Si1 0.3333 0.6667 0.7449
Si2 0.6667 0.3333 0.2551

No. 4
Computed, not measured: an optimized crystal structure of SrPr2Pd at the PBE level of DFT.

Values from the calculation:
energy above the most stable polymorph in this dataset	62	meV per atom
E_form	-0.261	eV/atom
space-group type	P4/mmm

Cell lengths 3.7318, 3.7318, 9.9206 Å; angles 90.00, 90.00, 90.00 degrees
Fractional positions:
Sr1 0.0000 0.0000 0.0000
Pr1 0.5000 0.5000 0.3300
Pr2 0.5000 0.5000 0.6700
Pd1 0.0000 0.0000 0.5000

No. 5
Computed, not measured: an optimized crystal structure of KCaTaSe4 at the PBE level of DFT.

Values from the calculation:
space-group type	P2_1/m
formation energy without anion corrections	-1.24	eV per atom

Cell lengths 7.0068, 7.2788, 9.1519 Å; angles 90.00, 107.32, 90.00 degrees
Fractional positions:
K1 0.2467 0.2500 0.4384
K2 0.7533 0.7500 0.5616
Ca1 0.2782 0.2500 0.9516
Ca2 0.7218 0.7500 0.0484
Ta1 0.2724 0.7500 0.1761
Ta2 0.7276 0.2500 0.8239
Se1 0.0662 0.7500 0.3444
Se2 0.0694 0.7500 0.9154
Se3 0.4976 0.5075 0.7791
Se4 0.4976 0.9925 0.7791
Se5 0.5024 0.0075 0.2209
Se6 0.5024 0.4925 0.2209
Se7 0.9306 0.2500 0.0846
Se8 0.9338 0.2500 0.6556

No. 6
Computed, not measured: an optimized crystal structure of Ho3VPd12 at the PBE level of DFT.

Values from the calculation:
E_form	-0.729	eV/atom
space-group type	P4/mmm

Cell lengths 4.0594, 4.0594, 16.1918 Å; angles 90.00, 90.00, 90.00 degrees
Fractional positions:
Ho1 0.0000 0.0000 0.0000
Ho2 0.0000 0.0000 0.2542
Ho3 0.0000 0.0000 0.7458
V1 0.0000 0.0000 0.5000
Pd1 0.0000 0.5000 0.1290
Pd2 0.0000 0.5000 0.3887
Pd3 0.0000 0.5000 0.6113
Pd4 0.0000 0.5000 0.8710
Pd5 0.5000 0.0000 0.1290
Pd6 0.5000 0.0000 0.3887
Pd7 0.5000 0.0000 0.6113
Pd8 0.5000 0.0000 0.8710
Pd9 0.5000 0.5000 0.0000
Pd10 0.5000 0.5000 0.2589
Pd11 0.5000 0.5000 0.5000
Pd12 0.5000 0.5000 0.7411

No. 7
Computed, not measured: an optimized crystal structure of TbNdIrPt at the PBE level of DFT.

Values from the calculation:
energy above the most stable polymorph in this dataset	51	meV per atom
E_form	-0.892	eV/atom
space-group type	F-43m

Cell lengths 4.9895, 4.9895, 4.9895 Å; angles 60.00, 60.00, 60.00 degrees
Fractional positions:
Tb1 0.0000 0.0000 0.0000
Nd1 0.5000 0.5000 0.5000
Ir1 0.2500 0.2500 0.2500
Pt1 0.7500 0.7500 0.7500

No. 8
Computed, not measured: an optimized crystal structure of Th2GaPb at the PBE level of DFT.

Values from the calculation:
energy above the most stable polymorph in this dataset	0	meV per atom
E_form	-0.367	eV/atom
space-group type	P4/mmm

Cell lengths 3.4959, 3.4959, 9.0161 Å; angles 90.00, 90.00, 90.00 degrees
Fractional positions:
Th1 0.0000 0.0000 0.2243
Th2 0.0000 0.0000 0.7757
Ga1 0.5000 0.5000 0.0000
Pb1 0.5000 0.5000 0.5000